Computed, not measured: crystalline In3PbCl6 at its relaxed geometry at the PBE-GGA level of DFT.

Geometry as extended XYZ:
```
20
Lattice="-3.1633 -6.4436 -5.9580 -4.0961 -6.8253 4.8641 -9.2524 0.9113 -0.7653" Properties=species:S:1:pos:R:3 pbc="T T T"
In -5.0727 -4.3606 1.4366
In -6.3413 -2.2679 -1.2065
In -12.3336 -7.3168 0.1266
In -4.1783 -5.0408 -1.9857
In -10.1706 -10.0897 -0.6527
In -11.4392 -7.9970 -3.2957
Pb 0.0000 0.0000 0.0000
Pb -8.2559 -6.1788 -0.9296
Cl -12.1221 -4.9166 1.6248
Cl -6.4550 -5.7322 3.5002
Cl -8.0690 -3.7495 0.6573
Cl -8.8990 -1.6032 -2.2393
Cl -5.6356 -6.9160 0.0924
Cl -9.6139 -7.6041 1.2103
Cl -6.8980 -4.7535 -3.0694
Cl -10.8763 -5.4416 -1.9516
Cl -7.6129 -10.7545 0.3801
Cl -8.4429 -8.6081 -2.5164
Cl -10.0569 -6.6254 -5.3593
Cl -4.3897 -7.4410 -3.4839
```

## Properties
Formation energy without anion corrections, eV/f.u.: -8.59
VASP energy, eV/atom: -3.16